Entry 1:
First-principles (PBE) data for Mg2NiAs after structural relaxation, as listed in Alexandria.

a = 6.059 Å, b = 6.059 Å, c = 6.059 Å
α = 151.26°, β = 138.23°, γ = 51.49°
Sites, in units of the cell vectors:
As 0.313 0.813 0.500
Mg 0.999 0.999 0.000
Mg 0.702 0.202 0.500
Ni 0.485 0.485 0.000

ΔE_f = -0.2532 eV/atom
Space-group type = Imm2, No. 44
Spin magnetization = 0.00 μB/cell



Entry 2:
First-principles (PBE) data for Mg2NiAs after structural relaxation, as listed in Alexandria.

a = 4.914 Å, b = 4.914 Å, c = 4.914 Å
α = 131.70°, β = 131.65°, γ = 70.75°
Sites, in units of the cell vectors:
As 0.250 0.750 0.500
Mg 0.000 0.000 0.000
Mg 0.500 0.500 0.000
Ni 0.750 0.250 0.500

ΔE_f = -0.1691 eV/atom
Space-group type = I4/mmm, No. 139
Spin magnetization = 0.00 μB/cell



Entry 3:
First-principles (PBE) data for Mg2NiAs after structural relaxation, as listed in Alexandria.

a = 3.310 Å, b = 3.083 Å, c = 6.915 Å
α = 90.00°, β = 90.00°, γ = 90.00°
Sites, in units of the cell vectors:
As 0.500 0.500 0.694
Mg 0.000 0.000 0.970
Mg 0.500 0.500 0.291
Ni 0.000 0.000 0.544

ΔE_f = -0.1561 eV/atom
Space-group type = Pmm2, No. 25
Spin magnetization = 0.00 μB/cell



Entry 4:
First-principles (PBE) data for Mg2Ni12As7 after structural relaxation, as listed in Alexandria.

a = 3.690 Å, b = 9.451 Å, c = 9.451 Å
α = 120.00°, β = 90.00°, γ = 90.00°
Sites, in units of the cell vectors:
Mg 0.500 0.000 0.000
Mg 0.000 0.667 0.333
Ni 0.500 0.903 0.611
Ni 0.500 0.708 0.097
Ni 0.500 0.389 0.292
Ni 0.500 0.237 0.783
Ni 0.500 0.546 0.763
Ni 0.500 0.217 0.454
Ni 0.000 0.054 0.540
Ni 0.000 0.486 0.946
Ni 0.000 0.460 0.514
Ni 0.000 0.775 0.729
Ni 0.000 0.955 0.225
Ni 0.000 0.271 0.045
As 0.000 0.333 0.667
As 0.000 0.046 0.788
As 0.000 0.742 0.954
As 0.000 0.212 0.258
As 0.500 0.632 0.553
As 0.500 0.920 0.368
As 0.500 0.447 0.080

ΔE_f = -0.3196 eV/atom
Space-group type = P-6, No. 174
Spin magnetization = 0.00 μB/cell



Entry 5:
First-principles (PBE) data for Mg2NiAs after structural relaxation, as listed in Alexandria.

a = 5.098 Å, b = 5.098 Å, c = 5.098 Å
α = 134.87°, β = 134.87°, γ = 65.74°
Sites, in units of the cell vectors:
As 0.750 0.250 0.500
Mg 0.000 0.000 0.000
Mg 0.250 0.750 0.500
Ni 0.500 0.500 0.000

ΔE_f = -0.1743 eV/atom
Space-group type = I-4m2, No. 119
Spin magnetization = 0.00 μB/cell



Entry 6:
First-principles (PBE) data for MgNi12As6 after structural relaxation, as listed in Alexandria.

a = 6.830 Å, b = 6.830 Å, c = 6.830 Å
α = 107.01°, β = 107.01°, γ = 107.01°
Sites, in units of the cell vectors:
Mg 0.000 0.000 0.000
Ni 0.876 0.124 0.500
Ni 0.831 0.594 0.594
Ni 0.594 0.594 0.831
Ni 0.406 0.169 0.406
Ni 0.406 0.406 0.169
Ni 0.169 0.406 0.406
Ni 0.124 0.500 0.876
Ni 0.500 0.876 0.124
Ni 0.124 0.876 0.500
Ni 0.876 0.500 0.124
Ni 0.500 0.124 0.876
Ni 0.594 0.831 0.594
As 0.697 0.259 0.259
As 0.259 0.259 0.697
As 0.259 0.697 0.259
As 0.741 0.741 0.303
As 0.303 0.741 0.741
As 0.741 0.303 0.741

ΔE_f = -0.1320 eV/atom
Space-group type = R-3m, No. 166
Spin magnetization = 0.00 μB/cell



Entry 7:
First-principles (PBE) data for Mg2NiAs after structural relaxation, as listed in Alexandria.

a = 8.639 Å, b = 8.639 Å, c = 8.639 Å
α = 20.44°, β = 20.44°, γ = 20.44°
Each line ends with the local moment (μB).
Sites, in units of the cell vectors:
As 0.750 0.750 0.750  0.00
Mg 0.992 0.992 0.992  0.00
Mg 0.508 0.508 0.508  0.00
Ni 0.250 0.250 0.250  0.23

ΔE_f = -0.0410 eV/atom
Space-group type = R-3m, No. 166
Spin magnetization = 0.23 μB/cell



Entry 8:
First-principles (PBE) data for Mg3NiAs after structural relaxation, as listed in Alexandria.

a = 4.930 Å, b = 4.930 Å, c = 4.930 Å
α = 90.00°, β = 90.00°, γ = 90.00°
Sites, in units of the cell vectors:
Ni 0.500 0.500 0.500
As 0.000 0.000 0.000
Mg 0.000 0.500 0.000
Mg 0.000 0.000 0.500
Mg 0.500 0.000 0.000

ΔE_f = 0.3756 eV/atom
Space-group type = Pm-3m, No. 221
Spin magnetization = 0.00 μB/cell
Excess energy over the best structure of this formula in the dataset = 255.5 meV per atom



Entry 9:
First-principles (PBE) data for MgNiAs after structural relaxation, as listed in Alexandria.

a = 5.234 Å, b = 5.234 Å, c = 3.192 Å
α = 72.25°, β = 72.25°, γ = 35.50°
Sites, in units of the cell vectors:
As 0.031 0.031 0.969
Mg 0.328 0.328 0.672
Ni 0.641 0.641 0.359

ΔE_f = -0.1988 eV/atom
Space-group type = I4mm, No. 107
Spin magnetization = 0.00 μB/cell



Entry 10:
First-principles (PBE) data for Mg2NiAs after structural relaxation, as listed in Alexandria.

a = 4.026 Å, b = 4.026 Å, c = 9.453 Å
α = 77.70°, β = 77.70°, γ = 90.00°
Sites, in units of the cell vectors:
Ni 0.500 0.500 0.000
Ni 0.250 0.750 0.500
As 0.000 0.000 0.000
As 0.750 0.250 0.500
Mg 0.614 0.125 0.250
Mg 0.136 0.625 0.250
Mg 0.375 0.386 0.750
Mg 0.875 0.864 0.750

ΔE_f = 0.1150 eV/atom
Space-group type = I-42d, No. 122
Spin magnetization = 0.00 μB/cell



Entry 11:
First-principles (PBE) data for MgNi3As after structural relaxation, as listed in Alexandria.

a = 5.158 Å, b = 6.419 Å, c = 6.224 Å
α = 121.04°, β = 114.48°, γ = 90.00°
Sites, in units of the cell vectors:
Mg 0.250 0.330 0.500
Mg 0.750 0.670 0.500
Ni 0.634 0.134 0.768
Ni 0.134 0.134 0.768
Ni 0.866 0.866 0.232
Ni 0.366 0.866 0.232
Ni 0.250 0.740 0.500
Ni 0.750 0.260 0.500
As 0.000 0.500 0.000
As 0.500 0.000 0.000

ΔE_f = -0.1280 eV/atom
Space-group type = Imma, No. 74
Spin magnetization = 0.00 μB/cell
Excess energy over the best structure of this formula in the dataset = 0.0 meV per atom



Entry 12:
First-principles (PBE) data for MgNi3As after structural relaxation, as listed in Alexandria.

a = 4.340 Å, b = 4.340 Å, c = 4.340 Å
α = 90.00°, β = 90.00°, γ = 90.00°
Sites, in units of the cell vectors:
Ni 0.000 0.500 0.000
Ni 0.000 0.000 0.500
Ni 0.500 0.000 0.000
As 0.500 0.500 0.500
Mg 0.000 0.000 0.000

ΔE_f = 1.0718 eV/atom
Space-group type = Pm-3m, No. 221
Spin magnetization = 0.00 μB/cell
Excess energy over the best structure of this formula in the dataset = 1199.8 meV per atom